Model 1:
Material: InMoPS2
Method: DFT, PBE
State: relaxed

Properties
SG = P4/mmm (123)

a b c (Å): 4.966 4.966 4.970
angles (deg): 90.00 90.00 90.00
Atoms (fractional coordinates):
In: 0.000 0.000 0.000
Mo: 0.500 0.500 0.500
P: 0.000 0.000 0.500
S: 0.000 0.500 0.000
S: 0.500 0.000 0.000

Model 2:
Material: InMoPS2
Method: DFT, PBE
State: relaxed

Properties
SG = P4/mmm (123)

a b c (Å): 4.757 4.757 4.783
angles (deg): 90.00 90.00 90.00
Atoms (fractional coordinates):
In: 0.000 0.000 0.000
Mo: 0.500 0.500 0.500
P: 0.500 0.500 0.000
S: 0.000 0.500 0.500
S: 0.500 0.000 0.500

Q: Which of them is the least stable? A: model 1.

Model 1:
Material: Pa2InMo
Method: DFT, PBE
State: relaxed

Properties
SG = P4/mmm (123)

a b c (Å): 3.241 3.241 8.891
angles (deg): 90.00 90.00 90.00
Atoms (fractional coordinates):
Pa: 0.000 0.000 0.211
Pa: 0.000 0.000 0.789
In: 0.500 0.500 0.500
Mo: 0.500 0.500 0.000

Model 2:
Material: Pa2InMo
Method: DFT, PBE
State: relaxed

Properties
SG = P4/mmm (123)

a b c (Å): 4.451 4.451 4.482
angles (deg): 90.00 90.00 90.00
Atoms (fractional coordinates):
Pa: 0.000 0.500 0.000
Pa: 0.500 0.000 0.000
In: 0.000 0.000 0.500
Mo: 0.500 0.500 0.500

Q: Which of them is the least stable? A: model 2.

Model 1:
Material: InMoPd3
Method: DFT, PBE
State: relaxed

Properties
SG = Pm-3m (221)

a b c (Å): 4.841 4.841 4.841
angles (deg): 90.00 90.00 90.00
Atoms (fractional coordinates):
In: 0.000 0.000 0.000
Mo: 0.500 0.500 0.500
Pd: 0.000 0.000 0.500
Pd: 0.000 0.500 0.000
Pd: 0.500 0.000 0.000

Model 2:
Material: InMoPd3
Method: DFT, PBE
State: relaxed

Properties
SG = Pm-3m (221)

a b c (Å): 4.845 4.845 4.845
angles (deg): 90.00 90.00 90.00
Atoms (fractional coordinates):
In: 0.000 0.000 0.000
Mo: 0.500 0.500 0.500
Pd: 0.000 0.500 0.500
Pd: 0.500 0.000 0.500
Pd: 0.500 0.500 0.000

Q: Which of them is the least stable? A: model 1.

Model 1:
Material: InMo2Pt2
Method: DFT, PBE
State: relaxed

Properties
SG = P4/mbm (127)

a b c (Å): 7.903 7.903 2.786
angles (deg): 90.00 90.00 90.00
Atoms (fractional coordinates):
In: 0.000 0.000 0.000
In: 0.500 0.500 0.000
Mo: 0.173 0.327 0.500
Mo: 0.327 0.827 0.500
Mo: 0.673 0.173 0.500
Mo: 0.827 0.673 0.500
Pt: 0.122 0.622 0.000
Pt: 0.378 0.122 0.000
Pt: 0.622 0.878 0.000
Pt: 0.878 0.378 0.000

Model 2:
Material: InMo2Pt2
Method: DFT, PBE
State: relaxed

Properties
SG = I4/mmm (139)

a b c (Å): 7.327 7.327 7.327
angles (deg): 151.40 151.40 40.89
Atoms (fractional coordinates):
In: 0.000 0.000 0.000
Mo: 0.250 0.750 0.500
Mo: 0.750 0.250 0.500
Pt: 0.401 0.401 0.000
Pt: 0.599 0.599 0.000

Q: Which of them is the least stable? A: model 1.

Model 1:
Material: InReMo
Method: DFT, PBE
State: relaxed

Properties
SG = I4mm (107)

a b c (Å): 5.636 5.636 5.636
angles (deg): 147.46 147.46 46.69
Atoms (fractional coordinates):
In: 0.000 0.000 0.000
Re: 0.319 0.319 0.000
Mo: 0.685 0.685 0.000

Model 2:
Material: InReMo
Method: DFT, PBE
State: relaxed

Properties
SG = P3m1 (156)

a b c (Å): 2.947 2.947 6.900
angles (deg): 90.00 90.00 120.00
Atoms (fractional coordinates):
In: 0.000 0.000 0.000
Re: 0.333 0.667 0.648
Mo: 0.667 0.333 0.357

Model 3:
Material: InReMo
Method: DFT, PBE
State: relaxed

Properties
SG = Fmm2 (42)

a b c (Å): 7.474 7.236 2.853
angles (deg): 83.55 74.16 22.29
Atoms (fractional coordinates):
In: 0.000 0.000 0.000
Re: 0.675 0.675 0.325
Mo: 0.325 0.325 0.675

Model 4:
Material: InReMo
Method: DFT, PBE
State: relaxed

Properties
SG = F-43m (216)

a b c (Å): 4.396 4.396 4.396
angles (deg): 60.00 60.00 60.00
Atoms (fractional coordinates):
In: 0.000 0.000 0.000
Re: 0.250 0.250 0.250
Mo: 0.500 0.500 0.500

Q: Which of them is the least stable? A: model 4.

Model 1:
Material: InMo2Rh2
Method: DFT, PBE
State: relaxed

Properties
SG = P4/mbm (127)

a b c (Å): 7.688 7.688 2.812
angles (deg): 90.00 90.00 90.00
Atoms (fractional coordinates):
In: 0.000 0.000 0.000
In: 0.500 0.500 0.000
Mo: 0.169 0.331 0.500
Mo: 0.331 0.831 0.500
Mo: 0.669 0.169 0.500
Mo: 0.831 0.669 0.500
Rh: 0.125 0.625 0.000
Rh: 0.375 0.125 0.000
Rh: 0.625 0.875 0.000
Rh: 0.875 0.375 0.000

Model 2:
Material: InMo2Rh2
Method: DFT, PBE
State: relaxed

Properties
SG = P4/mbm (127)

a b c (Å): 7.752 7.752 2.815
angles (deg): 90.00 90.00 90.00
Atoms (fractional coordinates):
In: 0.000 0.000 0.000
In: 0.500 0.500 0.000
Mo: 0.118 0.382 0.000
Mo: 0.382 0.882 0.000
Mo: 0.618 0.118 0.000
Mo: 0.882 0.618 0.000
Rh: 0.170 0.670 0.500
Rh: 0.330 0.170 0.500
Rh: 0.670 0.830 0.500
Rh: 0.830 0.330 0.500

Q: Which of them is the least stable? A: model 2.